{"formula": "Cs2SO4", "functional": "PBEsol", "state": "optimized geometry", "lattice_angstrom": [[6.116, 0.000, 0.000], [0.000, 7.927, 0.000], [0.000, 0.000, 13.260]], "species": ["O", "O", "O", "O", "O", "O", "O", "O", "O", "O", "O", "O", "O", "O", "O", "O", "S", "S", "S", "S", "Cs", "Cs", "Cs", "Cs", "Cs", "Cs", "Cs", "Cs"], "fractional_positions": [[0.750, 0.528, 0.089], [0.551, 0.779, 0.144], [0.949, 0.721, 0.644], [0.051, 0.279, 0.356], [0.949, 0.779, 0.144], [0.250, 0.028, 0.411], [0.750, 0.972, 0.589], [0.449, 0.279, 0.356], [0.750, 0.717, 0.486], [0.750, 0.783, 0.986], [0.551, 0.721, 0.644], [0.250, 0.283, 0.514], [0.449, 0.221, 0.856], [0.051, 0.221, 0.856], [0.250, 0.472, 0.911], [0.250, 0.217, 0.014], [0.750, 0.716, 0.092], [0.250, 0.216, 0.408], [0.250, 0.284, 0.908], [0.750, 0.784, 0.592], [0.750, 0.162, 0.037], [0.250, 0.026, 0.674], [0.250, 0.474, 0.174], [0.750, 0.526, 0.826], [0.250, 0.662, 0.463], [0.250, 0.838, 0.963], [0.750, 0.974, 0.326], [0.750, 0.338, 0.537]], "e_above_lowest_polymorph_ev_per_atom": 0.037, "space_group": "Pnma, No. 62", "e_form_raw_ev_per_atom": -1.886}

***

{"formula": "Cs2SO4", "functional": "PBEsol", "state": "optimized geometry", "lattice_angstrom": [[-1.379, 5.981, -0.856], [-1.826, -1.543, -7.842], [-10.303, -1.977, 2.789]], "species": ["O", "O", "O", "O", "O", "O", "O", "O", "O", "O", "O", "O", "O", "O", "O", "O", "Cs", "Cs", "Cs", "Cs", "Cs", "Cs", "Cs", "Cs", "S", "S", "S", "S"], "fractional_positions": [[0.250, 0.559, 0.913], [0.053, 0.804, 0.854], [0.750, 0.702, 0.548], [0.750, 0.941, 0.413], [0.750, 0.441, 0.087], [0.947, 0.196, 0.146], [0.250, 0.798, 0.048], [0.447, 0.804, 0.854], [0.750, 0.202, 0.952], [0.053, 0.304, 0.646], [0.947, 0.696, 0.354], [0.250, 0.298, 0.452], [0.447, 0.304, 0.646], [0.553, 0.696, 0.354], [0.553, 0.196, 0.146], [0.250, 0.059, 0.587], [0.250, 0.173, 0.909], [0.750, 0.827, 0.091], [0.750, 0.327, 0.409], [0.250, 0.673, 0.591], [0.750, 0.511, 0.802], [0.250, 0.489, 0.198], [0.750, 0.011, 0.698], [0.250, 0.989, 0.302], [0.750, 0.260, 0.082], [0.250, 0.740, 0.918], [0.250, 0.240, 0.582], [0.750, 0.760, 0.418]], "e_above_lowest_polymorph_ev_per_atom": 0.000, "space_group": "Pnma, No. 62", "e_form_raw_ev_per_atom": -1.923}

***

{"formula": "CsSO3", "functional": "PBEsol", "state": "optimized geometry", "lattice_angstrom": [[-0.854, -0.144, 3.887], [-2.046, -3.368, -0.574], [3.308, -2.120, 0.648]], "species": ["O", "O", "O", "Cs", "S"], "fractional_positions": [[0.000, 0.500, 0.000], [0.000, 0.000, 0.500], [0.500, 0.000, 0.000], [0.500, 0.500, 0.500], [0.000, 0.000, 0.000]], "space_group": "Pm-3m, No. 221", "e_form_raw_ev_per_atom": -0.285}